First-principles (PBE) data for a geometry-optimized Ca2Sc2Cd structure, as listed in the Alexandria database.

Properties
total moment	0.212	μB per atom
ΔE_f	3.870	kcal/mol of atoms

Cell and atoms, written as POSCAR:
```
Ca2Sc2Cd
1.0
-1.0844 -1.8416 7.2430
2.6623 -6.9339 -1.3644
5.0202 1.6949 1.1826
Sc Ca Cd
4 4 2
Direct
0.3576 0.8576 0.0000
0.8576 0.6424 0.0000
0.6424 0.1424 0.0000
0.1424 0.3576 0.0000
0.1689 0.6689 0.5000
0.6689 0.8311 0.5000
0.8311 0.3311 0.5000
0.3311 0.1689 0.5000
0.0000 0.0000 0.0000
0.5000 0.5000 0.0000
```